[1]
{
  "formula": "Re3TeW",
  "functional": "PBE",
  "state": "relaxed",
  "lattice": [[4.779, 0.000, 0.000], [0.000, 4.779, 0.000], [0.000, 0.000, 4.779]],
  "species": ["Re", "Re", "Re", "Te", "W"],
  "fractional_positions": [[0.000, 0.500, 0.000], [0.000, 0.000, 0.500], [0.500, 0.000, 0.000], [0.500, 0.500, 0.500], [0.000, 0.000, 0.000]],
  "n_ef_per_ev_cell": 5.645,
  "final_energy_ev_per_atom": -8.44,
  "volume_a3_per_fu": 109.1,
  "crystal_system": "cubic",
  "formation_energy_uncorrected_ev_per_atom": 2.243,
  "e_above_lowest_polymorph_mev_per_atom": 0
}


[2]
{
  "formula": "TaSe2Br",
  "functional": "PBE",
  "state": "relaxed",
  "lattice": [[-0.973, 0.689, -2.899], [-2.780, -1.309, 0.622], [-3.511, 9.040, 3.326]],
  "species": ["Br", "Se", "Se", "Ta"],
  "fractional_positions": [[0.500, 0.500, 0.750], [0.000, 0.000, 0.093], [0.000, 0.000, 0.407], [0.500, 0.500, 0.250]],
  "n_ef_per_ev_cell": 4.348,
  "final_energy_ev_per_atom": -5.45,
  "volume_a3_per_fu": 100.7,
  "crystal_system": "tetragonal",
  "formation_energy_uncorrected_ev_per_atom": -0.328,
  "e_above_lowest_polymorph_mev_per_atom": 360
}


[3]
{
  "formula": "Pu2SnGe3Pt4",
  "functional": "PBE",
  "state": "relaxed",
  "lattice": [[-0.679, 1.808, -3.811], [-3.859, 1.293, 1.301], [4.345, 9.305, 3.641]],
  "species": ["Pu", "Pu", "Sn", "Ge", "Ge", "Ge", "Pt", "Pt", "Pt", "Pt"],
  "fractional_positions": [[0.500, 0.000, 0.238], [0.000, 0.500, 0.762], [0.500, 0.500, 0.500], [0.000, 0.000, 0.500], [0.500, 0.000, 0.871], [0.000, 0.500, 0.129], [0.500, 0.500, 0.000], [0.000, 0.000, 0.000], [0.500, 0.000, 0.647], [0.000, 0.500, 0.353]],
  "n_ef_per_ev_cell": 29.668,
  "final_energy_ev_per_atom": -7.73,
  "volume_a3_per_fu": 198.9,
  "crystal_system": "tetragonal",
  "delta_e_f_ev_per_fu": -6.58
}


[4]
{
  "formula": "ReP3",
  "functional": "PBE",
  "state": "relaxed",
  "lattice": [[2.971, 0.000, 0.000], [0.000, 2.971, 0.000], [0.000, 0.000, 6.329]],
  "species": ["P", "P", "P", "Re"],
  "fractional_positions": [[0.000, 0.000, 0.979], [0.500, 0.500, 0.250], [0.000, 0.000, 0.521], [0.500, 0.500, 0.750]],
  "n_ef_per_ev_cell": 1.062,
  "final_energy_ev_per_atom": -6.92,
  "volume_a3_per_fu": 55.9,
  "crystal_system": "tetragonal",
  "delta_e_f_ev_per_fu": 0.98,
  "e_above_lowest_polymorph_mev_per_atom": 580
}